First-principles (PBE-GGA) data for a relaxed structure of RbBa3Sb, as listed in Alexandria via LeMat-Bulk.

Lattice parameters (Å, degrees): 6.9001 6.9001 6.9001 90.00 90.00 90.00
Sites, in units of the cell vectors:
Rb: 0.5000 0.5000 0.5000
Ba: 0.0000 0.5000 0.0000
Ba: 0.5000 0.0000 0.0000
Ba: 0.0000 0.0000 0.5000
Sb: 0.0000 0.0000 0.0000

Computed properties:
- energy above the most stable polymorph in this dataset (meV/atom) = 0
- energy relative to the elements, uncorrected (eV per atom) = -0.38
- magnetic moment (μB/f.u.) = 0.00
- raw total energy (eV/atom) = -2.5552
- space group = Pm-3m


First-principles (PBE-GGA) data for a relaxed structure of RbBa2Sb, as listed in Alexandria via LeMat-Bulk.

Lattice parameters (Å, degrees): 5.0604 5.0604 12.4072 78.23 78.23 60.00
Sites, in units of the cell vectors:
Rb: 0.5007 0.5007 0.4979
Ba: 0.2823 0.2823 0.1530
Ba: 0.0506 0.0506 0.8481
Sb: 0.6663 0.6663 0.0010

Computed properties:
- energy relative to the elements, uncorrected (eV per atom) = -0.56
- magnetic moment (μB/f.u.) = 0.35
- raw total energy (eV/atom) = -2.7976
- space group = R3m


First-principles (PBE-GGA) data for a relaxed structure of RbBa2Sb2, as listed in Alexandria via LeMat-Bulk.

Lattice parameters (Å, degrees): 6.4651 6.4651 7.8471 65.67 65.67 90.00
Sites, in units of the cell vectors:
Ba: 0.6732 0.6732 0.6536
Ba: 0.3268 0.3268 0.3464
Rb: 0.0000 0.0000 0.0000
Sb: 0.7500 0.2500 0.5000
Sb: 0.2500 0.7500 0.5000

Computed properties:
- energy above the most stable polymorph in this dataset (meV/atom) = 253
- energy relative to the elements, uncorrected (eV per atom) = -0.54
- magnetic moment (μB/f.u.) = 0.00
- raw total energy (eV/atom) = -3.1537
- space group = I4/mmm


First-principles (PBE-GGA) data for a relaxed structure of RbBaSb2, as listed in Alexandria via LeMat-Bulk.

Lattice parameters (Å, degrees): 6.0303 6.0303 6.0303 60.00 60.00 60.00
Sites, in units of the cell vectors:
Sb: 0.2500 0.2500 0.2500
Sb: 0.7500 0.7500 0.7500
Ba: 0.5000 0.5000 0.5000
Rb: 0.0000 0.0000 0.0000

Computed properties:
- energy above the most stable polymorph in this dataset (meV/atom) = 126
- energy relative to the elements, uncorrected (eV per atom) = -0.40
- magnetic moment (μB/f.u.) = 0.00
- raw total energy (eV/atom) = -3.1819
- space group = Fm-3m


First-principles (PBE-GGA) data for a relaxed structure of RbBa2Sb, as listed in Alexandria via LeMat-Bulk.

Lattice parameters (Å, degrees): 4.4255 4.4255 11.5872 90.00 90.00 90.00
Sites, in units of the cell vectors:
Ba: 0.0000 0.0000 0.1544
Ba: 0.0000 0.0000 0.8456
Sb: 0.5000 0.5000 0.0000
Rb: 0.5000 0.5000 0.5000

Computed properties:
- energy relative to the elements, uncorrected (eV per atom) = -0.52
- magnetic moment (μB/f.u.) = 0.00
- raw total energy (eV/atom) = -2.7578
- space group = P4/mmm


First-principles (PBE-GGA) data for a relaxed structure of RbBaSbSe4, as listed in Alexandria via LeMat-Bulk.

Lattice parameters (Å, degrees): 7.6424 7.4009 9.7273 90.00 106.59 90.00
Sites, in units of the cell vectors:
Se: 0.5912 0.2500 0.8550
Se: 0.0037 0.5152 0.7357
Se: 0.9963 0.0152 0.2643
Se: 0.9963 0.4848 0.2643
Se: 0.6104 0.2500 0.4310
Se: 0.4088 0.7500 0.1450
Se: 0.0037 0.9848 0.7357
Se: 0.3896 0.7500 0.5690
Ba: 0.2389 0.2500 0.5561
Ba: 0.7611 0.7500 0.4439
Sb: 0.7903 0.2500 0.6914
Sb: 0.2097 0.7500 0.3086
Rb: 0.7444 0.7500 0.9393
Rb: 0.2556 0.2500 0.0607

Computed properties:
- energy relative to the elements, uncorrected (eV per atom) = -0.99
- magnetic moment (μB/f.u.) = 0.00
- raw total energy (eV/atom) = -3.9865
- space group = P2_1/m


First-principles (PBE-GGA) data for a relaxed structure of Rb2BaSbSe4, as listed in Alexandria via LeMat-Bulk.

Lattice parameters (Å, degrees): 9.2844 9.2844 9.6767 121.41 121.41 90.18
Sites, in units of the cell vectors:
Se: 0.7237 0.2932 0.5084
Se: 0.2763 0.7068 0.4916
Se: 0.7522 0.7479 0.5510
Se: 0.2479 0.2522 0.0510
Se: 0.7521 0.7478 0.9490
Se: 0.2068 0.7763 0.9916
Se: 0.2478 0.2521 0.4490
Se: 0.7932 0.2237 0.0084
Rb: 0.0000 0.0000 0.5000
Rb: 0.5000 0.0000 0.0000
Rb: 0.5000 0.0000 0.5000
Rb: 0.5000 0.5000 0.0000
Ba: 0.0000 0.5000 0.0000
Ba: 0.0000 0.5000 0.5000
Sb: 0.5000 0.5000 0.5000
Sb: 0.0000 0.0000 0.0000

Computed properties:
- energy relative to the elements, uncorrected (eV per atom) = -0.97
- magnetic moment (μB/f.u.) = 0.00
- raw total energy (eV/atom) = -3.7109
- space group = Imma


First-principles (PBE-GGA) data for a relaxed structure of RbBaSiSb2, as listed in Alexandria via LeMat-Bulk.

Lattice parameters (Å, degrees): 5.5980 5.8798 5.5980 90.00 90.00 90.00
Sites, in units of the cell vectors:
Sb: 0.0000 0.0000 0.5000
Sb: 0.5000 0.0000 0.0000
Rb: 0.5000 0.5000 0.5000
Si: 0.0000 0.0000 0.0000
Ba: 0.0000 0.5000 0.0000

Computed properties:
- energy relative to the elements, uncorrected (eV per atom) = -0.06
- magnetic moment (μB/f.u.) = 0.00
- raw total energy (eV/atom) = -3.3704
- space group = P4/mmm


First-principles (PBE-GGA) data for a relaxed structure of RbBa2SrSb, as listed in Alexandria via LeMat-Bulk.

Lattice parameters (Å, degrees): 6.8933 6.8933 6.5706 90.00 90.00 90.00
Sites, in units of the cell vectors:
Ba: 0.5000 0.0000 0.0000
Ba: 0.0000 0.5000 0.0000
Rb: 0.5000 0.5000 0.5000
Sr: 0.0000 0.0000 0.5000
Sb: 0.0000 0.0000 0.0000

Computed properties:
- energy relative to the elements, uncorrected (eV per atom) = -0.37
- magnetic moment (μB/f.u.) = 0.46
- raw total energy (eV/atom) = -2.4908
- space group = P4/mmm


First-principles (PBE-GGA) data for a relaxed structure of RbBaSbTe2, as listed in Alexandria via LeMat-Bulk.

Lattice parameters (Å, degrees): 6.2434 6.2434 5.9099 90.00 90.00 90.00
Sites, in units of the cell vectors:
Te: 0.5000 0.0000 0.0000
Te: 0.0000 0.5000 0.0000
Sb: 0.0000 0.0000 0.5000
Ba: 0.5000 0.5000 0.5000
Rb: 0.0000 0.0000 0.0000

Computed properties:
- energy above the most stable polymorph in this dataset (meV/atom) = 265
- energy relative to the elements, uncorrected (eV per atom) = 0.09
- magnetic moment (μB/f.u.) = 0.00
- raw total energy (eV/atom) = -2.5675
- space group = P4/mmm


First-principles (PBE-GGA) data for a relaxed structure of RbBaSb2Te, as listed in Alexandria via LeMat-Bulk.

Lattice parameters (Å, degrees): 6.0019 6.0019 6.2380 90.00 90.00 90.00
Sites, in units of the cell vectors:
Ba: 0.5000 0.5000 0.5000
Sb: 0.5000 0.0000 0.0000
Sb: 0.0000 0.5000 0.0000
Rb: 0.0000 0.0000 0.0000
Te: 0.0000 0.0000 0.5000

Computed properties:
- energy above the most stable polymorph in this dataset (meV/atom) = 225
- energy relative to the elements, uncorrected (eV per atom) = 0.31
- magnetic moment (μB/f.u.) = 0.00
- raw total energy (eV/atom) = -2.5446
- space group = P4/mmm


First-principles (PBE-GGA) data for a relaxed structure of RbBaSbTe2, as listed in Alexandria via LeMat-Bulk.

Lattice parameters (Å, degrees): 6.6069 6.6069 6.6015 90.00 90.00 90.00
Sites, in units of the cell vectors:
Rb: 0.5000 0.5000 0.5000
Ba: 0.0000 0.0000 0.0000
Te: 0.0000 0.5000 0.0000
Te: 0.5000 0.0000 0.0000
Sb: 0.0000 0.0000 0.5000

Computed properties:
- energy above the most stable polymorph in this dataset (meV/atom) = 0
- energy relative to the elements, uncorrected (eV per atom) = -0.17
- magnetic moment (μB/f.u.) = 2.20
- raw total energy (eV/atom) = -2.8325
- space group = P4/mmm


First-principles (PBE-GGA) data for a relaxed structure of RbBaSb2Te, as listed in Alexandria via LeMat-Bulk.

Lattice parameters (Å, degrees): 6.4436 6.4436 6.5438 90.00 90.00 90.00
Sites, in units of the cell vectors:
Rb: 0.5000 0.5000 0.5000
Sb: 0.5000 0.0000 0.0000
Sb: 0.0000 0.5000 0.0000
Ba: 0.0000 0.0000 0.0000
Te: 0.0000 0.0000 0.5000

Computed properties:
- energy above the most stable polymorph in this dataset (meV/atom) = 0
- energy relative to the elements, uncorrected (eV per atom) = 0.09
- magnetic moment (μB/f.u.) = 0.99
- raw total energy (eV/atom) = -2.7695
- space group = P4/mmm